Here is a relaxed structure of Er12Fe6Bi from the Alexandria database. Energies are from PBE.

Cell lengths 8.3592, 8.3592, 8.3592 Å; angles 109.47, 109.47, 109.47 degrees
Element x y z (fractional)
Er 0.8024 0.3016 0.1040
Er 0.8960 0.1976 0.6984
Bi 0.0000 0.0000 0.0000
Fe 0.3906 0.5000 0.8906
Er 0.6984 0.8960 0.1976
Er 0.6984 0.5009 0.8024
Er 0.3016 0.4991 0.1976
Fe 0.5000 0.8906 0.3906
Er 0.1976 0.3016 0.4991
Er 0.4991 0.1976 0.3016
Fe 0.5000 0.1094 0.6093
Er 0.3016 0.1040 0.8024
Fe 0.6093 0.5000 0.1094
Er 0.5009 0.8024 0.6984
Fe 0.1094 0.6093 0.5000
Fe 0.8906 0.3906 0.5000
Er 0.1040 0.8024 0.3016
Er 0.1976 0.6984 0.8960
Er 0.8024 0.6984 0.5009

Properties
The volume is 449.7 Å³/f.u. The space-group type is Im-3. The magnetization comes out at 5.4 Bohr magnetons per cell. The calculation puts the energy of formation at -0.14 eV/atom.